# Na3Cd8Ga3

A relaxed structure of Na3Cd8Ga3 (GGA-PBE, Alexandria via LeMat-Bulk).

a b c (Å): 5.106 10.131 12.964
angles (deg): 90.00 90.00 90.00
Space group Immm (No. 71)
Unique sites:
Na1 0.000 0.000 0.000 [2 per cell]
Na2 0.000 0.000 0.277 [4 per cell]
Cd1 0.000 0.290 0.140 [8 per cell]
Cd2 0.000 0.358 0.368 [8 per cell]
Ga1 0.000 0.134 0.500 [4 per cell]
Ga2 0.000 0.500 0.000 [2 per cell]

=====

# Na2CdGa2

A relaxed structure of Na2CdGa2 (GGA-PBE, Alexandria via LeMat-Bulk).

a b c (Å): 4.141 4.141 14.127
angles (deg): 90.00 90.00 90.00
Space group I4/mmm (No. 139)
Unique sites:
Na1 0.000 0.500 0.250 [4 per cell]
Cd1 0.000 0.000 0.000 [2 per cell]
Ga1 0.000 0.000 0.411 [4 per cell]

Offset from the most stable computed form (meV/atom): 155

=====

# NaCd11Ga

A relaxed structure of NaCd11Ga (GGA-PBE, Alexandria via LeMat-Bulk).

a b c (Å): 5.903 14.229 7.798
angles (deg): 90.00 111.79 90.00
Space group C2/m (No. 12)
Unique sites:
Na1 0.000 0.000 0.000 [2 per cell]
Cd1 0.000 0.000 0.500 [2 per cell]
Cd2 0.101 0.395 0.215 [8 per cell]
Cd3 0.181 0.174 0.354 [8 per cell]
Cd4 0.250 0.250 0.000 [4 per cell]
Ga1 0.000 0.500 0.500 [2 per cell]

=====

# Na5Cd2Ga

A relaxed structure of Na5Cd2Ga (GGA-PBE, Alexandria via LeMat-Bulk).

a b c (Å): 6.779 13.678 4.602
angles (deg): 90.00 90.00 90.00
Space group Pbam (No. 55)
Unique sites:
Na1 0.000 0.000 0.000 [2 per cell]
Na2 0.023 0.256 0.000 [4 per cell]
Na3 0.242 0.878 0.500 [4 per cell]
Cd1 0.216 0.611 0.500 [4 per cell]
Ga1 0.000 0.500 0.000 [2 per cell]

=====

# NaCd2Ga2

A relaxed structure of NaCd2Ga2 (GGA-PBE, Alexandria via LeMat-Bulk).

a b c (Å): 8.094 8.094 3.485
angles (deg): 90.00 90.00 90.00
Space group P4/mbm (No. 127)
Unique sites:
Na1 0.000 0.000 0.000 [2 per cell]
Cd1 0.177 0.323 0.500 [4 per cell]
Ga1 0.121 0.621 0.000 [4 per cell]

Offset from the most stable computed form (meV/atom): 39

=====

# Na3Cd4Ga

A relaxed structure of Na3Cd4Ga (GGA-PBE, Alexandria via LeMat-Bulk).

a b c (Å): 6.211 10.136 6.521
angles (deg): 90.00 90.00 90.00
Space group Imm2 (No. 44)
Unique sites:
Na1 0.000 0.000 0.000 [2 per cell]
Na2 0.000 0.286 0.752 [4 per cell]
Cd1 0.000 0.241 0.281 [4 per cell]
Cd2 0.238 0.000 0.521 [4 per cell]
Ga1 0.000 0.500 0.400 [2 per cell]

=====

# NaCd3Ga

A relaxed structure of NaCd3Ga (GGA-PBE, Alexandria via LeMat-Bulk).

a b c (Å): 15.347 9.630 6.606
angles (deg): 90.00 103.64 90.00
Space group C2/c (No. 15)
Unique sites:
Na1 0.000 0.022 0.250 [4 per cell]
Na2 0.000 0.358 0.750 [4 per cell]
Cd1 0.171 0.153 0.056 [8 per cell]
Cd2 0.173 0.165 0.606 [8 per cell]
Cd3 0.184 0.489 0.596 [8 per cell]
Ga1 0.084 0.326 0.273 [8 per cell]

Offset from the most stable computed form (meV/atom): 0

=====

# Na6Cd2Ga

A relaxed structure of Na6Cd2Ga (GGA-PBE, Alexandria via LeMat-Bulk).

a b c (Å): 5.4559 5.4559 30.6597
angles (deg): 90.00 90.00 120.00
Space group R-3m (No. 166, hexagonal axes)
Unique sites:
Na1 0.0000 0.0000 0.0792 [6 per cell]
Na2 0.0000 0.0000 0.1951 [6 per cell]
Na3 0.0000 0.0000 0.3087 [6 per cell]
Cd1 0.0000 0.0000 0.4126 [6 per cell]
Ga1 0.0000 0.0000 0.5000 [3 per cell]

=====

# NaCd4Ga4

A relaxed structure of NaCd4Ga4 (GGA-PBE, Alexandria via LeMat-Bulk).

a b c (Å): 6.260 6.260 10.373
angles (deg): 90.00 90.00 90.00
Space group P4_2/nmc (No. 137, origin choice 2)
Unique sites:
Na1 0.250 0.750 0.250 [2 per cell]
Cd1 0.002 0.250 0.028 [8 per cell]
Ga1 0.041 0.250 0.309 [8 per cell]

=====

# Na3Cd4Ga2

A relaxed structure of Na3Cd4Ga2 (GGA-PBE, Alexandria via LeMat-Bulk).

a b c (Å): 10.826 4.971 9.216
angles (deg): 90.00 122.27 90.00
Space group C2/m (No. 12)
Unique sites:
Na1 0.000 0.000 0.000 [2 per cell]
Na2 0.163 0.500 0.669 [4 per cell]
Cd1 0.067 0.000 0.395 [4 per cell]
Cd2 0.212 0.500 0.054 [4 per cell]
Ga1 0.114 0.500 0.282 [4 per cell]

Offset from the most stable computed form (meV/atom): 6

=====

# Na2Cd2Ga3

A relaxed structure of Na2Cd2Ga3 (GGA-PBE, Alexandria via LeMat-Bulk).

a b c (Å): 11.444 4.668 7.055
angles (deg): 90.00 119.79 90.00
Space group C2/m (No. 12)
Unique sites:
Na1 0.159 0.000 0.281 [4 per cell]
Cd1 0.143 0.000 0.753 [4 per cell]
Ga1 0.000 0.500 0.500 [2 per cell]
Ga2 0.082 0.500 0.924 [4 per cell]

=====

# NaCd3Ga

A relaxed structure of NaCd3Ga (GGA-PBE, Alexandria via LeMat-Bulk).

a b c (Å): 5.286 5.286 5.286
angles (deg): 90.00 90.00 90.00
Space group Pm-3m (No. 221)
Unique sites:
Na1 0.000 0.000 0.000 [1 per cell]
Cd1 0.000 0.500 0.500 [3 per cell]
Ga1 0.500 0.500 0.500 [1 per cell]

Offset from the most stable computed form (meV/atom): 194

=====

Number 1: ρ 5.8 g/cm³, formation energy from the elements -0.058 eV per atom. Number 2: ρ 4.1 g/cm³, formation energy from the elements 0.107 eV per atom. Number 3: ρ 7.3 g/cm³, formation energy from the elements -0.007 eV per atom. Number 4: ρ 3.2 g/cm³, formation energy from the elements -0.034 eV per atom. Number 5: ρ 5.6 g/cm³, formation energy from the elements -0.012 eV per atom. Number 6: ρ 4.8 g/cm³, formation energy from the elements -0.006 eV per atom. Number 7: ρ 6.0 g/cm³, formation energy from the elements -0.062 eV per atom. Number 8: ρ 2.7 g/cm³, formation energy from the elements -0.037 eV per atom. Number 9: ρ 6.1 g/cm³, formation energy from the elements 0.008 eV per atom. Number 10: ρ 5.2 g/cm³, formation energy from the elements -0.097 eV per atom. Number 11: ρ 4.9 g/cm³, formation energy from the elements -0.070 eV per atom. Number 12: ρ 4.8 g/cm³, formation energy from the elements 0.133 eV per atom.